Entry from OQMD: crystalline Hf2NbPb2 at its relaxed geometry (PBE).

Output
- density (g/cm3) = 12.39
- E_tot (eV/atom) = -6.830
- symmetry = I4/mmm

a b c (Å): 7.274 7.274 7.274
angles (deg): 146.66 146.66 47.87
Fractional positions:
Hf (0.250, 0.750, 0.500)
Hf (0.750, 0.250, 0.500)
Nb (0.000, 0.000, 0.000)
Pb (0.399, 0.399, 0.000)
Pb (0.601, 0.601, 0.000)